The following is a PBEsol calculation of crystalline SbIr3 at its relaxed geometry, from Alexandria via LeMat-Bulk.

Unit cell a=2.802 b=4.758 c=5.463 alpha=115.81 beta=104.86 gamma=90.00
Sites, in units of the cell vectors:
Ir1 0.749 0.749 0.499
Ir2 0.500 0.000 0.000
Ir3 0.251 0.251 0.501
Sb1 0.000 0.500 0.000

Output
Fermi-level density of states: 0.86 states/eV/atom
ΔE_f (raw): 0.364 eV per atom
Total magnetic moment: 0.0001 μB/atom

***

The following is a PBEsol calculation of crystalline Sb3Ir at its relaxed geometry, from Alexandria via LeMat-Bulk.

Unit cell a=3.496 b=3.496 c=9.127 alpha=90.00 beta=90.00 gamma=120.00
Sites, in units of the cell vectors:
Sb1 0.000 0.000 0.500
Sb2 0.333 0.667 0.808
Sb3 0.333 0.667 0.192
Ir1 0.000 0.000 0.000

Output
Fermi-level density of states: 0.70 states/eV/atom
ΔE_f (raw): 0.151 eV per atom
Distance to the lowest polymorph of the same formula: 500 meV/atom
Total magnetic moment: 0.0000 μB/atom

***

The following is a PBEsol calculation of crystalline SbIr2 at its relaxed geometry, from Alexandria via LeMat-Bulk.

Unit cell a=2.913 b=3.576 c=5.206 alpha=110.09 beta=106.25 gamma=90.00
Sites, in units of the cell vectors:
Sb1 0.000 0.000 0.000
Ir1 0.342 0.342 0.684
Ir2 0.658 0.658 0.316

Output
Fermi-level density of states: 1.15 states/eV/atom
ΔE_f (raw): 0.408 eV per atom
Total magnetic moment: 0.0003 μB/atom